1.
## DyPa2NbC4 (GGA-PBE)

Data for DyPa2NbC4 after structural relaxation.

E_tot   -147.67 eV per cell
Symmetry   Imma

a = 6.980 Å, b = 6.980 Å, c = 7.027 Å
α = 120.22°, β = 120.23°, γ = 90.09°
Fractional positions:
C (0.748, 0.752, 0.984)
C (0.749, 0.230, 0.990)
C (0.252, 0.248, 0.484)
C (0.252, 0.248, 0.016)
C (0.730, 0.249, 0.490)
C (0.251, 0.770, 0.010)
C (0.270, 0.751, 0.510)
C (0.748, 0.752, 0.516)
Dy (0.000, 0.500, 0.000)
Dy (0.000, 0.500, 0.500)
Nb (0.000, 0.000, 0.000)
Nb (0.500, 0.500, 0.500)
Pa (0.500, 0.500, 0.000)
Pa (0.500, 0.000, 0.500)
Pa (0.500, 0.000, 0.000)
Pa (0.000, 0.000, 0.500)

***

2.
## TaCr2Br (GGA-PBE)

Data for TaCr2Br after structural relaxation.

Distance to the lowest polymorph of the same formula   174.3 meV/atom
Raw formation energy   0.483 eV/atom
Symmetry   P2/m

a = 3.251 Å, b = 3.465 Å, c = 6.547 Å
α = 89.80°, β = 90.00°, γ = 90.00°
Fractional positions:
Br (0.500, 0.750, 0.750)
Ta (0.500, 0.250, 0.250)
Cr (0.000, 0.749, 0.421)
Cr (0.000, 0.751, 0.079)

***

3.
## KCuRuCl6 (GGA-PBE)

Data for KCuRuCl6 after structural relaxation.

Raw formation energy   -0.835 eV/atom
Symmetry   P312

a = 6.339 Å, b = 6.339 Å, c = 7.010 Å
α = 90.00°, β = 90.00°, γ = 60.00°
Each line ends with the local moment (μB).
Fractional positions:
Cu (0.333, 0.333, 0.500)  0.41
Cl (0.986, 0.372, 0.310)  0.07
Cl (0.986, 0.642, 0.690)  0.07
Cl (0.642, 0.986, 0.310)  0.07
Cl (0.372, 0.642, 0.310)  0.07
Cl (0.642, 0.372, 0.690)  0.07
Cl (0.372, 0.986, 0.690)  0.07
K (0.000, 0.000, 0.000)  0.00
Ru (0.667, 0.667, 0.500)  1.04

***

4.
## TaCoBi2H (GGA-PBE)

Data for TaCoBi2H after structural relaxation.

Distance to the lowest polymorph of the same formula   688.4 meV/atom
Symmetry   P4/mmm

a = 5.481 Å, b = 4.697 Å, c = 5.481 Å
α = 90.00°, β = 90.00°, γ = 90.00°
Each line ends with the local moment (μB).
Fractional positions:
H (0.500, 0.500, 0.500)  0.26
Bi (0.000, 0.000, 0.500)  -0.02
Bi (0.500, 0.000, 0.000)  0.07
Ta (0.000, 0.000, 0.000)  -0.04
Co (0.000, 0.500, 0.000)  1.58